An optimized crystal structure of CuMoF6. Source: Alexandria via LeMat-Bulk, functional PBE with a Hubbard U.

a b c (Å): 5.1098 5.1098 5.2614
angles (deg): 98.71 98.71 118.04
Closest atoms and distances in Å follow each position.
Sites, in units of the cell vectors:
Cu 0.0000 0.0000 0.0000  4 F 1.96
Mo 0.5000 0.5000 0.5000  6 F 1.95-2.05
F 0.2729 0.2729 0.7341  1 Mo 1.95
F 0.3816 0.0950 0.2447  1 Cu 1.96, 1 Mo 2.05
F 0.7271 0.7271 0.2659  1 Mo 1.95
F 0.9050 0.6184 0.7553  1 Cu 1.96, 1 Mo 2.05
F 0.6184 0.9050 0.7553  1 Cu 1.96, 1 Mo 2.05
F 0.0950 0.3816 0.2447  1 Cu 1.96, 1 Mo 2.05

## Properties
The crystal system is monoclinic. As for the space group: No. 12. The value obtained for the energy above the most stable polymorph in this dataset is 39.6 meV/atom.

An optimized crystal structure of CuMo2F2. Source: Alexandria via LeMat-Bulk, functional PBE with a Hubbard U.

a b c (Å): 4.6848 4.6848 5.1594
angles (deg): 63.00 63.00 90.00
Closest atoms and distances in Å follow each position.
Sites, in units of the cell vectors:
Mo 0.7500 0.2500 0.5000  4 F 2.43
Mo 0.2500 0.7500 0.5000  4 F 2.43
Cu 0.0000 0.0000 0.0000  2 F 2.61
F 0.3295 0.3295 0.3410  4 Mo 2.43, 1 Cu 2.61, 1 F 2.70
F 0.6705 0.6705 0.6590  4 Mo 2.43, 1 Cu 2.61, 1 F 2.70

## Properties
The crystal system is tetragonal. As for the space group: No. 139. The value obtained for the energy above the most stable polymorph in this dataset is 66.5 meV/atom.

An optimized crystal structure of CuMoF2. Source: Alexandria via LeMat-Bulk, functional PBE with a Hubbard U.

a b c (Å): 7.6084 7.6084 7.6084
angles (deg): 20.91 20.91 20.91
Closest atoms and distances in Å follow each position.
Sites, in units of the cell vectors:
Mo 0.0000 0.0000 0.0000  2 F 2.08
Cu 0.5000 0.5000 0.5000  6 F 2.29
F 0.9067 0.9067 0.9067  1 Mo 2.08, 3 Cu 2.29
F 0.0933 0.0933 0.0933  1 Mo 2.08, 3 Cu 2.29

## Properties
The crystal system is trigonal. As for the space group: No. 166. The value obtained for the energy above the most stable polymorph in this dataset is 181.9 meV/atom.

An optimized crystal structure of CuMo2F. Source: Alexandria via LeMat-Bulk, functional PBE with a Hubbard U.

a b c (Å): 4.2559 4.2559 4.2559
angles (deg): 60.00 60.00 60.00
Closest atoms and distances in Å follow each position.
Sites, in units of the cell vectors:
Mo 0.2500 0.2500 0.2500  4 Cu 2.61, 4 F 2.61
Mo 0.7500 0.7500 0.7500  4 Cu 2.61, 4 F 2.61
Cu 0.5000 0.5000 0.5000  8 Mo 2.61
F 0.0000 0.0000 0.0000  8 Mo 2.61

## Properties
The crystal system is cubic. As for the space group: No. 225. The value obtained for the energy above the most stable polymorph in this dataset is 155.9 meV/atom.

An optimized crystal structure of Cu3MoF. Source: Alexandria via LeMat-Bulk, functional PBE with a Hubbard U.

a b c (Å): 4.2232 4.2232 4.2232
angles (deg): 90.00 90.00 90.00
Closest atoms and distances in Å follow each position.
Sites, in units of the cell vectors:
Mo 0.5000 0.5000 0.5000  12 Cu 2.99
Cu 0.0000 0.5000 0.0000  2 F 2.11
Cu 0.0000 0.0000 0.5000  2 F 2.11
Cu 0.5000 0.0000 0.0000  2 F 2.11
F 0.0000 0.0000 0.0000  6 Cu 2.11

## Properties
The crystal system is cubic. As for the space group: No. 221. The value obtained for the energy above the most stable polymorph in this dataset is 0.0 meV/atom.

An optimized crystal structure of CuMoF2. Source: Alexandria via LeMat-Bulk, functional PBE with a Hubbard U.

a b c (Å): 9.5998 9.5998 9.5998
angles (deg): 16.45 16.45 16.45
Closest atoms and distances in Å follow each position.
Sites, in units of the cell vectors:
Mo 0.5000 0.5000 0.5000  6 F 2.20
Cu 0.0000 0.0000 0.0000  6 Cu 2.75
F 0.8870 0.8870 0.8870  3 Mo 2.20
F 0.1130 0.1130 0.1130  3 Mo 2.20

## Properties
The crystal system is trigonal. As for the space group: No. 166. The value obtained for the energy above the most stable polymorph in this dataset is 0.0 meV/atom.

An optimized crystal structure of CuMo2F. Source: Alexandria via LeMat-Bulk, functional PBE with a Hubbard U.

a b c (Å): 6.5855 6.5855 5.5056
angles (deg): 53.27 53.27 90.00
Closest atoms and distances in Å follow each position.
Sites, in units of the cell vectors:
Mo 0.5810 0.1250 0.2500  2 F 2.26
Mo 0.1690 0.6250 0.2500  2 F 2.26
Mo 0.3750 0.4190 0.7500  2 F 2.26
Mo 0.8750 0.8310 0.7500  2 F 2.26
Cu 0.0000 0.0000 0.0000  4 Mo 2.65, 2 F 2.94
Cu 0.7500 0.2500 0.5000  4 Mo 2.65, 2 F 2.94
F 0.5000 0.5000 0.0000  4 Mo 2.26
F 0.2500 0.7500 0.5000  4 Mo 2.26

## Properties
The crystal system is tetragonal. As for the space group: No. 122. The value obtained for the energy above the most stable polymorph in this dataset is 0.0 meV/atom.

An optimized crystal structure of CuMoF2. Source: Alexandria via LeMat-Bulk, functional PBE with a Hubbard U.

a b c (Å): 4.2518 4.2518 4.2518
angles (deg): 60.00 60.00 60.00
Closest atoms and distances in Å follow each position.
Sites, in units of the cell vectors:
Mo 0.5000 0.5000 0.5000  8 F 2.60
Cu 0.0000 0.0000 0.0000  8 F 2.60
F 0.2500 0.2500 0.2500  4 Mo 2.60, 4 Cu 2.60
F 0.7500 0.7500 0.7500  4 Mo 2.60, 4 Cu 2.60

## Properties
The crystal system is cubic. As for the space group: No. 225. The value obtained for the energy above the most stable polymorph in this dataset is 226.6 meV/atom.

An optimized crystal structure of CuMoF5. Source: Alexandria via LeMat-Bulk, functional PBE with a Hubbard U.

a b c (Å): 3.6005 5.7542 5.7542
angles (deg): 80.69 71.76 71.76
Closest atoms and distances in Å follow each position.
Sites, in units of the cell vectors:
Cu 0.0000 0.0000 0.0000  4 F 1.80-1.93
Mo 0.5000 0.5000 0.5000  6 F 2.06-2.18
F 0.7581 0.2419 0.2419  1 Cu 1.93, 1 Mo 2.06
F 0.0000 0.3339 0.6661  2 Mo 2.18
F 0.5000 0.0000 0.0000  2 Cu 1.80
F 0.0000 0.6661 0.3339  2 Mo 2.18
F 0.2419 0.7581 0.7581  1 Cu 1.93, 1 Mo 2.06

## Properties
The crystal system is orthorhombic. The value obtained for the total energy is -0.1823 hartree per atom. As for the space group: No. 71.

An optimized crystal structure of Cu2MoF. Source: Alexandria via LeMat-Bulk, functional PBE with a Hubbard U.

a b c (Å): 7.3214 7.3214 5.6455
angles (deg): 49.58 49.58 90.00
Closest atoms and distances in Å follow each position.
Sites, in units of the cell vectors:
Mo 0.0000 0.0000 0.0000  2 F 2.25
Mo 0.7500 0.2500 0.5000  2 F 2.25
Cu 0.5885 0.1250 0.2500  2 Cu 2.31, 2 F 2.47
Cu 0.1615 0.6250 0.2500  2 Cu 2.31, 2 F 2.47
Cu 0.3750 0.4115 0.7500  2 Cu 2.31, 2 F 2.47
Cu 0.8750 0.8385 0.7500  2 Cu 2.31, 2 F 2.47
F 0.5000 0.5000 0.0000  2 Mo 2.25, 4 Cu 2.47
F 0.2500 0.7500 0.5000  2 Mo 2.25, 4 Cu 2.47

## Properties
The crystal system is tetragonal. As for the space group: No. 122. The value obtained for the energy above the most stable polymorph in this dataset is 0.0 meV/atom.

An optimized crystal structure of CuMoF2. Source: Alexandria via LeMat-Bulk, functional PBE with a Hubbard U.

a b c (Å): 6.4082 6.4082 5.3780
angles (deg): 53.43 53.43 90.00
Closest atoms and distances in Å follow each position.
Sites, in units of the cell vectors:
Mo 0.0000 0.0000 0.0000  4 F 2.21
Mo 0.7500 0.2500 0.5000  4 F 2.21
Cu 0.5000 0.5000 0.0000  4 F 2.56
Cu 0.2500 0.7500 0.5000  4 F 2.56
F 0.6650 0.1250 0.2500  2 Mo 2.21
F 0.0850 0.6250 0.2500  2 Mo 2.21
F 0.3750 0.3350 0.7500  2 Mo 2.21
F 0.8750 0.9150 0.7500  2 Mo 2.21

## Properties
The crystal system is tetragonal. As for the space group: No. 122. The value obtained for the energy above the most stable polymorph in this dataset is 30.4 meV/atom.